[1]
## LiMgCu (PBE)

Data for LiMgCu after structural relaxation.

Lattice parameters (Å, degrees): 4.398 4.398 5.498 90.00 90.00 120.00
Atoms (fractional coordinates):
Li1 0.000 0.000 0.000
Li2 0.333 0.667 0.165
Mg1 0.000 0.000 0.488
Mg2 0.667 0.333 0.814
Cu1 0.333 0.667 0.650
Cu2 0.667 0.333 0.317

Its mass density is 3.42 g cm⁻³. Its symmetry is No. 156. The calculated total energy comes out at -2.452 eV per atom.

[2]
## Li2Mg2Tl2CuNi (PBE)

Data for Li2Mg2Tl2CuNi after structural relaxation.

Lattice parameters (Å, degrees): 4.535 4.535 6.443 90.00 90.00 90.00
Atoms (fractional coordinates):
Li1 0.000 0.000 0.000
Li2 0.500 0.500 0.500
Mg1 0.000 0.500 0.243
Mg2 0.500 0.000 0.757
Tl1 0.000 0.500 0.757
Tl2 0.500 0.000 0.243
Cu1 0.000 0.000 0.500
Ni1 0.500 0.500 0.000

Its mass density is 7.44 g cm⁻³. Its symmetry is No. 115. The calculated total energy comes out at -2.739 eV per atom.